Entry 1:
Ti3InAs PBE-GGA relaxed; offset from the most stable computed form = 135.1 meV/atom; energy = -6.254 eV per atom; calculated formation energy = -40 meV/atom
1.0
4.705 0.000 0.000
0.000 4.705 0.000
0.000 0.000 4.705
Ti In As
3 1 1
direct
0.000 0.000 0.500
0.000 0.500 0.000
0.500 0.000 0.000
0.500 0.500 0.500
0.000 0.000 0.000

=====

Entry 2:
NiHgSe2 PBE-GGA relaxed; energy = -3.276 eV per atom; formation energy without anion corrections = -0.01 eV per atom
1.0
-1.459 1.590 9.620
1.459 -1.590 9.620
1.459 1.590 -9.620
Ni Hg Se
1 1 2
direct
0.000 0.000 0.000
0.741 0.241 0.500
0.406 0.906 0.500
0.565 0.565 0.000